# 1
6
Lattice="-2.0932 2.0932 7.6227 2.0932 -2.0932 7.6227 2.0932 2.0932 -7.6227" Properties=species:S:1:pos:R:3 comment="AcNdSi4, optimized geometry, DFT PBE" polymorph_energy_mev_per_atom=0 e_form_raw_mev_per_atom=-559 total_energy_ev_per_cell=-33.92 pbc="T T T"
Ac 0.0000 0.0000 0.0000
Nd 2.0932 0.0000 3.8114
Si 0.0000 0.0000 6.2206
Si 0.0000 0.0000 9.0248
Si 0.0000 2.0932 2.6178
Si 0.0000 2.0932 5.0049

---

# 2
6
Lattice="4.9824 0.0000 0.0000 0.0000 4.9824 0.0000 0.0000 0.0000 8.7571" Properties=species:S:1:pos:R:3 comment="PrNdTh, optimized geometry, DFT PBE" polymorph_energy_mev_per_atom=149 formation_enthalpy_0k_ev_per_atom=0.17 total_energy_ev_per_cell=-32.90 pbc="T T T"
Pr 1.2456 1.2456 1.8212
Pr 3.7368 3.7368 6.9359
Nd 1.2456 1.2456 6.9238
Nd 3.7368 3.7368 1.8333
Th 1.2456 3.7368 4.3785
Th 3.7368 1.2456 4.3785

---

# 3
5
Lattice="5.4360 0.0000 0.0000 0.0000 5.4360 0.0000 0.0000 0.0000 5.4360" Properties=species:S:1:pos:R:3 comment="NbIn3Ga, optimized geometry, DFT PBE" polymorph_energy_mev_per_atom=0 formation_enthalpy_0k_ev_per_atom=0.58 total_energy_ev_per_cell=-18.40 pbc="T T T"
Nb 0.0000 0.0000 0.0000
In 0.0000 0.0000 2.7180
In 0.0000 2.7180 0.0000
In 2.7180 0.0000 0.0000
Ga 2.7180 2.7180 2.7180

---

# 4
4
Lattice="3.6635 0.0000 0.0000 0.0000 3.6635 0.0000 0.0000 0.0000 6.6843" Properties=species:S:1:pos:R:3 comment="AcRh2Pb, optimized geometry, DFT PBE" formation_enthalpy_0k_ev_per_atom=-0.22 total_energy_ev_per_cell=-23.41 pbc="T T T"
Ac 0.0000 0.0000 0.0000
Rh 1.8317 1.8317 1.8485
Rh 1.8317 1.8317 4.8358
Pb 0.0000 0.0000 3.3421

---

M_tot
In order: 0.00 0.00 0.00 0.00
Unit: μB per formula unit